1.
# PBE-GGA Mn2TeC, relaxed
data_Mn2TeC
_chemical_formula_sum 'Mn8 Te4 C4'
_symmetry_space_group_name_H-M 'F m -3 m'
_symmetry_Int_Tables_number 225
_symmetry_space_group_name_Hall '-F 4 2 3'
_cell_length_a 5.813
_cell_length_b 5.813
_cell_length_c 5.813
_cell_angle_alpha 90.00
_cell_angle_beta 90.00
_cell_angle_gamma 90.00
loop_
_atom_site_label
_atom_site_type_symbol
_atom_site_fract_x
_atom_site_fract_y
_atom_site_fract_z
Mn1 Mn 0.250 0.250 0.250
Te1 Te 0.000 0.000 0.000
C1 C 0.000 0.000 0.500
# ΔE_f (raw) ... 1.244 eV per atom

2.
This record from the Alexandria database describes a relaxed structure of RbGe2H2. The functional is PBE-GGA.

CIF file:
```
data_RbGe2H2
_chemical_formula_sum 'Rb1 Ge2 H2'
_symmetry_space_group_name_H-M 'P -1'
_symmetry_Int_Tables_number 2
_symmetry_space_group_name_Hall '-P 1'
_cell_length_a 4.302
_cell_length_b 4.583
_cell_length_c 5.600
_cell_angle_alpha 85.70
_cell_angle_beta 87.83
_cell_angle_gamma 68.17
loop_
_atom_site_label
_atom_site_type_symbol
_atom_site_fract_x
_atom_site_fract_y
_atom_site_fract_z
Rb1 Rb 0.000 0.000 0.000
Ge1 Ge 0.326 0.320 0.484
H1 H 0.334 0.345 0.194
```

3.
# PBE-GGA InReTe2, relaxed
data_InReTe2
_chemical_formula_sum 'In3 Re3 Te6'
_symmetry_space_group_name_H-M 'R -3 m'
_symmetry_Int_Tables_number 166
_symmetry_space_group_name_Hall '-R 3 2"'
_cell_length_a 3.1193
_cell_length_b 3.1193
_cell_length_c 35.3142
_cell_angle_alpha 90.00
_cell_angle_beta 90.00
_cell_angle_gamma 120.00
loop_
_atom_site_label
_atom_site_type_symbol
_atom_site_fract_x
_atom_site_fract_y
_atom_site_fract_z
In1 In 0.0000 0.0000 0.0000
Re1 Re 0.0000 0.0000 0.5000
Te1 Te 0.0000 0.0000 0.4253
# ΔE_f (raw) ... 0.728 eV per atom

4.
# PBE-GGA B2C3, relaxed
data_B2C3
_chemical_formula_sum 'B8 C12'
_symmetry_space_group_name_H-M 'I m m 2'
_symmetry_Int_Tables_number 44
_symmetry_space_group_name_Hall 'I 2 -2'
_cell_length_a 2.484
_cell_length_b 2.486
_cell_length_c 20.948
_cell_angle_alpha 90.00
_cell_angle_beta 90.00
_cell_angle_gamma 90.00
loop_
_atom_site_label
_atom_site_type_symbol
_atom_site_fract_x
_atom_site_fract_y
_atom_site_fract_z
B1 B 0.000 0.000 0.000
B2 B 0.000 0.000 0.224
B3 B 0.000 0.000 0.625
B4 B 0.000 0.500 0.062
C1 C 0.000 0.000 0.407
C2 C 0.000 0.000 0.819
C3 C 0.000 0.500 0.278
C4 C 0.000 0.500 0.448
C5 C 0.000 0.500 0.675
C6 C 0.000 0.500 0.863
# Formation enthalpy at 0 K ... 0.3328 eV per atom

5.
# PBE-GGA Pm12ErSn7, relaxed
data_Pm12ErSn7
_chemical_formula_sum 'Pm36 Er3 Sn21'
_symmetry_space_group_name_H-M 'R -3 m'
_symmetry_Int_Tables_number 166
_symmetry_space_group_name_Hall '-R 3 2"'
_cell_length_a 15.6464
_cell_length_b 15.6464
_cell_length_c 8.8905
_cell_angle_alpha 90.00
_cell_angle_beta 90.00
_cell_angle_gamma 120.00
loop_
_atom_site_label
_atom_site_type_symbol
_atom_site_fract_x
_atom_site_fract_y
_atom_site_fract_z
Pm1 Pm 0.0000 0.2738 0.0000
Pm2 Pm 0.1107 0.2214 0.3849
Er1 Er 0.0000 0.0000 0.0000
Sn1 Sn 0.0000 0.0000 0.5000
Sn2 Sn 0.1024 0.2047 0.7614
# Formation enthalpy at 0 K ... -0.4172 eV per atom

6.
# PBE-GGA CsInPb2Cl8, relaxed
data_CsInPb2Cl8
_chemical_formula_sum 'Cs1 In1 Pb2 Cl8'
_symmetry_space_group_name_H-M 'P -1'
_symmetry_Int_Tables_number 2
_symmetry_space_group_name_Hall '-P 1'
_cell_length_a 6.995
_cell_length_b 7.155
_cell_length_c 8.671
_cell_angle_alpha 85.09
_cell_angle_beta 68.63
_cell_angle_gamma 74.83
loop_
_atom_site_label
_atom_site_type_symbol
_atom_site_fract_x
_atom_site_fract_y
_atom_site_fract_z
Cs1 Cs 0.000 0.000 0.000
In1 In 0.500 0.000 0.500
Pb1 Pb 0.366 0.465 0.270
Cl1 Cl 0.156 0.261 0.617
Cl2 Cl 0.264 0.498 0.976
Cl3 Cl 0.303 0.736 0.580
Cl4 Cl 0.446 0.062 0.217
# ΔE_f (raw) ... -1.280 eV per atom

no.,final energy (Ry/atom)
1,-0.47272
2,-0.25650
3,-0.34103
4,-0.57862
5,-0.35990
6,-0.25195